Entry from Alexandria: a relaxed MnCuIrPt crystal (PBE).

For the total DFT energy (no corrections), the calculation gives -114.0 eV for the cell shown. Its calculated formation energy is -8.3 kJ per mole of atoms. Its volume is 220.9 Å³/cell.

The space group is F-43m (No. 216) and the conventional cell measures 6.045, 6.045 and 6.045 Å, with angles of 90.00, 90.00 and 90.00 degrees. The distinct sites, in fractional coordinates, are Mn at (0.000, 0.000, 0.000), Cu at (0.000, 0.000, 0.500), Ir at (0.250, 0.250, 0.250) and Pt at (0.250, 0.250, 0.750).

***

Entry from Alexandria: a relaxed RbMnCu2Ir crystal (PBE).

For the total DFT energy (no corrections), the calculation gives -20.0 eV for the cell shown. Its calculated formation energy is 138.6 kJ per mole of atoms. Its volume is 130.1 Å³/cell.

The space group is P4/mmm (No. 123) and the conventional cell measures 4.852, 4.852 and 5.526 Å, with angles of 90.00, 90.00 and 90.00 degrees. The distinct sites, in fractional coordinates, are Rb at (0.000, 0.000, 0.000), Mn at (0.500, 0.500, 0.000), Cu at (0.000, 0.500, 0.500) and Ir at (0.000, 0.000, 0.500).

***

Entry from Alexandria: a relaxed MnCu2ReIr crystal (PBE).

For the total DFT energy (no corrections), the calculation gives -29.6 eV for the cell shown. Its calculated formation energy is 175.1 kJ per mole of atoms. Its volume is 90.5 Å³/cell.

The space group is P4/mmm (No. 123) and the conventional cell measures 4.561, 4.561 and 4.351 Å, with angles of 90.00, 90.00 and 90.00 degrees. The distinct sites, in fractional coordinates, are Mn at (0.000, 0.000, 0.000), Cu at (0.000, 0.500, 0.500), Re at (0.000, 0.000, 0.500) and Ir at (0.500, 0.500, 0.000).

***

Entry from Alexandria: a relaxed MnCuIrRh crystal (PBE).

For the total DFT energy (no corrections), the calculation gives -118.4 eV for the cell shown. Its calculated formation energy is -2.7 kJ per mole of atoms. Its volume is 213.6 Å³/cell.

The space group is F-43m (No. 216) and the conventional cell measures 5.977, 5.977 and 5.977 Å, with angles of 90.00, 90.00 and 90.00 degrees. The distinct sites, in fractional coordinates, are Mn at (0.000, 0.000, 0.000), Cu at (0.000, 0.000, 0.500), Ir at (0.250, 0.250, 0.750) and Rh at (0.250, 0.250, 0.250).

***

Entry from Alexandria: a relaxed MnCuIrRu crystal (PBE).

For the total DFT energy (no corrections), the calculation gives -124.3 eV for the cell shown. Its calculated formation energy is 8.0 kJ per mole of atoms. Its volume is 212.1 Å³/cell.

The space group is F-43m (No. 216) and the conventional cell measures 5.963, 5.963 and 5.963 Å, with angles of 90.00, 90.00 and 90.00 degrees. The distinct sites, in fractional coordinates, are Mn at (0.000, 0.000, 0.000), Cu at (0.000, 0.000, 0.500), Ir at (0.250, 0.250, 0.250) and Ru at (0.250, 0.250, 0.750).

***

Entry from Alexandria: a relaxed MnCuIrS4 crystal (PBE).

For the uncorrected formation energy, the calculation gives -0.472 eV per atom. For the total DFT energy (no corrections), the calculation gives -167.8 eV for the cell shown. Its volume is 477.8 Å³/cell.

The space group is Imma (No. 74) and the conventional cell measures 6.832, 7.134 and 9.803 Å, with angles of 90.00, 90.00 and 90.00 degrees. The distinct sites, in fractional coordinates, are Mn at (0.250, 0.250, 0.250), Cu at (0.000, 0.250, 0.629), Ir at (0.000, 0.000, 0.000), S at (0.000, 0.019, 0.243) and S at (0.231, 0.250, 0.009).

***

What is the formula in the first record? MnCuIrPt

***

What is the total DFT energy (no corrections) in the third record? -29.6 eV for the cell shown

***

Please write out number 4 again, unchanged.
Entry from Alexandria: a relaxed MnCuIrRh crystal (PBE).

For the total DFT energy (no corrections), the calculation gives -118.4 eV for the cell shown. Its calculated formation energy is -2.7 kJ per mole of atoms. Its volume is 213.6 Å³/cell.

The space group is F-43m (No. 216) and the conventional cell measures 5.977, 5.977 and 5.977 Å, with angles of 90.00, 90.00 and 90.00 degrees. The distinct sites, in fractional coordinates, are Mn at (0.000, 0.000, 0.000), Cu at (0.000, 0.000, 0.500), Ir at (0.250, 0.250, 0.750) and Rh at (0.250, 0.250, 0.250).

***

Number 5 is which compound? MnCuIrRu